Entry 1:
A plane-wave DFT calculation with PBE-GGA was carried out for crystalline CuSb2Au at its relaxed geometry.

The density of states at the Fermi level is 0.305 states/eV/atom. For the total energy, the calculation gives -3.73 eV/atom. Its energy relative to the elements, uncorrected is 0.17 eV/atom.

The space group is R3m (No. 160, hexagonal axes) and the conventional cell measures 3.5473, 3.5473 and 24.5284 Å, with angles of 90.00, 90.00 and 120.00 degrees. The inequivalent atoms are Cu at (0.0000, 0.0000, 0.0000), Sb at (0.0000, 0.0000, 0.5183), Sb at (0.0000, 0.0000, 0.7361) and Au at (0.0000, 0.0000, 0.2662).

Entry 2:
A plane-wave DFT calculation with PBE-GGA was carried out for crystalline CuSb2Au at its relaxed geometry.

The density of states at the Fermi level is 0.325 states/eV/atom. For the total energy, the calculation gives -3.81 eV/atom. Its energy relative to the elements, uncorrected is 0.09 eV/atom.

The space group is P4mm (No. 99) and the conventional cell measures 3.2999, 3.2999 and 8.0749 Å, with angles of 90.00, 90.00 and 90.00 degrees. The inequivalent atoms are Cu at (0.0000, 0.0000, 0.0000), Sb at (0.0000, 0.0000, 0.5892), Sb at (0.5000, 0.5000, 0.1956) and Au at (0.5000, 0.5000, 0.8223).

Entry 3:
A plane-wave DFT calculation with PBE-GGA was carried out for crystalline CuSbAu2 at its relaxed geometry.

The density of states at the Fermi level is 0.495 states/eV/atom. For the total energy, the calculation gives -3.61 eV/atom. Its energy relative to the elements, uncorrected is 0.08 eV/atom.

The space group is Cmmm (No. 65) and the conventional cell measures 5.8670, 5.8833 and 4.3012 Å, with angles of 90.00, 90.00 and 90.00 degrees. The inequivalent atoms are Cu at (0.0000, 0.0000, 0.0000), Sb at (0.0000, 0.5000, 0.0000) and Au at (0.2500, 0.2500, 0.5000).

Entry 4:
A plane-wave DFT calculation with PBE-GGA was carried out for crystalline CuSb2Au at its relaxed geometry.

The density of states at the Fermi level is 0.377 states/eV/atom. For the total energy, the calculation gives -3.69 eV/atom. Its energy relative to the elements, uncorrected is 0.21 eV/atom.

The space group is P4/mmm (No. 123) and the conventional cell measures 4.5931, 4.5931 and 4.0037 Å, with angles of 90.00, 90.00 and 90.00 degrees. The inequivalent atoms are Cu at (0.0000, 0.0000, 0.0000), Sb at (0.0000, 0.5000, 0.5000) and Au at (0.5000, 0.5000, 0.0000).

Entry 5:
A plane-wave DFT calculation with PBE-GGA was carried out for crystalline CuSb2Au at its relaxed geometry.

The density of states at the Fermi level is 0.380 states/eV/atom. For the total energy, the calculation gives -3.86 eV/atom. Its energy relative to the elements, uncorrected is 0.05 eV/atom.

The space group is Cm (No. 8) and the conventional cell measures 7.6840, 3.8315 and 6.3636 Å, with angles of 90.00, 108.15 and 90.00 degrees. The inequivalent atoms are Cu at (0.0000, 0.0000, 0.0000), Sb at (0.2620, 0.0000, 0.8094), Sb at (0.4918, 0.0000, 0.4313) and Au at (0.2387, 0.5000, 0.1925).

Entry 6:
A plane-wave DFT calculation with PBE-GGA was carried out for crystalline CuSb2Au2 at its relaxed geometry.

The density of states at the Fermi level is 0.423 states/eV/atom. For the total energy, the calculation gives -3.64 eV/atom. Its energy relative to the elements, uncorrected is 0.14 eV/atom.

The space group is P4/mbm (No. 127) and the conventional cell measures 7.1021, 7.1021 and 4.2401 Å, with angles of 90.00, 90.00 and 90.00 degrees. The inequivalent atoms are Cu at (0.0000, 0.0000, 0.0000), Sb at (0.1686, 0.3314, 0.5000) and Au at (0.1456, 0.6456, 0.0000).

Entry 7:
A plane-wave DFT calculation with PBE-GGA was carried out for crystalline CuSb3Au at its relaxed geometry.

The density of states at the Fermi level is 0.554 states/eV/atom. For the total energy, the calculation gives -3.40 eV/atom. Its energy relative to the elements, uncorrected is 0.55 eV/atom.

The space group is Pm-3m (No. 221) and the conventional cell measures 5.0550, 5.0550 and 5.0550 Å, with angles of 90.00, 90.00 and 90.00 degrees. The inequivalent atoms are Cu at (0.0000, 0.0000, 0.0000), Sb at (0.0000, 0.0000, 0.5000) and Au at (0.5000, 0.5000, 0.5000).

Entry 8:
A plane-wave DFT calculation with PBE-GGA was carried out for crystalline CuSbAu2 at its relaxed geometry.

The density of states at the Fermi level is 0.283 states/eV/atom. For the total energy, the calculation gives -3.60 eV/atom. Its energy relative to the elements, uncorrected is 0.09 eV/atom.

The space group is P2/m (No. 10) and the conventional cell measures 3.4413, 4.2455 and 5.4962 Å, with angles of 90.00, 106.88 and 90.00 degrees. The inequivalent atoms are Cu at (0.0000, 0.0000, 0.0000), Sb at (0.0000, 0.0000, 0.5000) and Au at (0.4004, 0.5000, 0.2273).

Entry 9:
A plane-wave DFT calculation with PBE-GGA was carried out for crystalline CuSb3Au at its relaxed geometry.

The density of states at the Fermi level is 0.478 states/eV/atom. For the total energy, the calculation gives -3.90 eV/atom. Its energy relative to the elements, uncorrected is 0.05 eV/atom.

The space group is P-6c2 (No. 188) and the conventional cell measures 7.0080, 7.0080 and 5.4470 Å, with angles of 90.00, 90.00 and 120.00 degrees. The inequivalent atoms are Cu at (0.0000, 0.0000, 0.0000), Sb at (0.3695, 0.0628, 0.2500) and Au at (0.3333, 0.6667, 0.0000).

Entry 10:
A plane-wave DFT calculation with PBE-GGA was carried out for crystalline CuSbAu2 at its relaxed geometry.

The density of states at the Fermi level is 0.544 states/eV/atom. For the total energy, the calculation gives -3.53 eV/atom. Its energy relative to the elements, uncorrected is 0.16 eV/atom.

The space group is F-43m (No. 216) and the conventional cell measures 6.7038, 6.7038 and 6.7038 Å, with angles of 90.00, 90.00 and 90.00 degrees. The inequivalent atoms are Cu at (0.0000, 0.0000, 0.0000), Sb at (0.2500, 0.2500, 0.2500), Au at (0.0000, 0.0000, 0.5000) and Au at (0.2500, 0.2500, 0.7500).

Entry 11:
A plane-wave DFT calculation with PBE-GGA was carried out for crystalline Cu2Sb2Au at its relaxed geometry.

The density of states at the Fermi level is 0.354 states/eV/atom. For the total energy, the calculation gives -3.84 eV/atom. Its energy relative to the elements, uncorrected is 0.11 eV/atom.

The space group is P4/mbm (No. 127) and the conventional cell measures 6.9583, 6.9583 and 3.9124 Å, with angles of 90.00, 90.00 and 90.00 degrees. The inequivalent atoms are Cu at (0.1288, 0.3712, 0.0000), Sb at (0.1717, 0.6717, 0.5000) and Au at (0.0000, 0.0000, 0.0000).

Entry 12:
A plane-wave DFT calculation with PBE-GGA was carried out for crystalline Cu2Sb2Au at its relaxed geometry.

The density of states at the Fermi level is 0.470 states/eV/atom. For the total energy, the calculation gives -3.76 eV/atom. Its energy relative to the elements, uncorrected is 0.18 eV/atom.

The space group is I4/mmm (No. 139) and the conventional cell measures 3.5098, 3.5098 and 16.1413 Å, with angles of 90.00, 90.00 and 90.00 degrees. The inequivalent atoms are Cu at (0.0000, 0.5000, 0.2500), Sb at (0.0000, 0.0000, 0.1158) and Au at (0.0000, 0.0000, 0.5000).

Entry 13:
A plane-wave DFT calculation with PBE-GGA was carried out for crystalline CuSb2Au at its relaxed geometry.

The density of states at the Fermi level is 0.331 states/eV/atom. For the total energy, the calculation gives -3.65 eV/atom. Its energy relative to the elements, uncorrected is 0.25 eV/atom.

The space group is Fm-3m (No. 225) and the conventional cell measures 6.9739, 6.9739 and 6.9739 Å, with angles of 90.00, 90.00 and 90.00 degrees. The inequivalent atoms are Cu at (0.0000, 0.0000, 0.0000), Sb at (0.2500, 0.2500, 0.2500) and Au at (0.0000, 0.0000, 0.5000).

Entry 14:
A plane-wave DFT calculation with PBE-GGA was carried out for crystalline CuSb2Au at its relaxed geometry.

The density of states at the Fermi level is 0.513 states/eV/atom. For the total energy, the calculation gives -3.67 eV/atom. Its energy relative to the elements, uncorrected is 0.23 eV/atom.

The space group is I-4m2 (No. 119) and the conventional cell measures 4.1124, 4.1124 and 10.1519 Å, with angles of 90.00, 90.00 and 90.00 degrees. The inequivalent atoms are Cu at (0.0000, 0.0000, 0.0000), Sb at (0.0000, 0.0000, 0.5000), Sb at (0.0000, 0.5000, 0.7500) and Au at (0.0000, 0.5000, 0.2500).

Entry 15:
A plane-wave DFT calculation with PBE-GGA was carried out for crystalline CuSb2Au at its relaxed geometry.

The density of states at the Fermi level is 0.561 states/eV/atom. For the total energy, the calculation gives -3.69 eV/atom. Its energy relative to the elements, uncorrected is 0.22 eV/atom.

The space group is I-42d (No. 122) and the conventional cell measures 6.0619, 6.0619 and 11.9485 Å, with angles of 90.00, 90.00 and 90.00 degrees. The inequivalent atoms are Cu at (0.0000, 0.0000, 0.0000), Sb at (0.2239, 0.2500, 0.1250) and Au at (0.0000, 0.0000, 0.5000).

Entry 16:
A plane-wave DFT calculation with PBE-GGA was carried out for crystalline CuSb2Au at its relaxed geometry.

The density of states at the Fermi level is 0.476 states/eV/atom. For the total energy, the calculation gives -3.78 eV/atom. Its energy relative to the elements, uncorrected is 0.13 eV/atom.

The space group is P2/m (No. 10) and the conventional cell measures 2.9981, 3.7578 and 8.1178 Å, with angles of 90.00, 91.15 and 90.00 degrees. The inequivalent atoms are Cu at (0.0000, 0.0000, 0.0000), Sb at (0.0120, 0.5000, 0.7644) and Au at (0.0000, 0.0000, 0.5000).

Entry 17:
A plane-wave DFT calculation with PBE-GGA was carried out for crystalline CuSb4Au at its relaxed geometry.

The density of states at the Fermi level is 0.730 states/eV/atom. For the total energy, the calculation gives -3.31 eV/atom. Its energy relative to the elements, uncorrected is 0.66 eV/atom.

The space group is F-43m (No. 216) and the conventional cell measures 8.6537, 8.6537 and 8.6537 Å, with angles of 90.00, 90.00 and 90.00 degrees. The inequivalent atoms are Cu at (0.0000, 0.0000, 0.0000), Sb at (0.1244, 0.1244, 0.6244) and Au at (0.2500, 0.2500, 0.2500).

Entry 18:
A plane-wave DFT calculation with PBE-GGA was carried out for crystalline CuSbAu2 at its relaxed geometry.

The density of states at the Fermi level is 0.310 states/eV/atom. For the total energy, the calculation gives -3.61 eV/atom. Its energy relative to the elements, uncorrected is 0.08 eV/atom.

The space group is I-4m2 (No. 119) and the conventional cell measures 4.1824, 4.1824 and 8.4715 Å, with angles of 90.00, 90.00 and 90.00 degrees. The inequivalent atoms are Cu at (0.0000, 0.0000, 0.0000), Sb at (0.0000, 0.5000, 0.7500), Au at (0.0000, 0.0000, 0.5000) and Au at (0.0000, 0.5000, 0.2500).

Entry 19:
A plane-wave DFT calculation with PBE-GGA was carried out for crystalline Cu3SbAu3 at its relaxed geometry.

The density of states at the Fermi level is 0.426 states/eV/atom. For the total energy, the calculation gives -3.10 eV/atom. Its energy relative to the elements, uncorrected is 0.65 eV/atom.

The space group is Pm-3n (No. 223) and the conventional cell measures 6.8999, 6.8999 and 6.8999 Å, with angles of 90.00, 90.00 and 90.00 degrees. The inequivalent atoms are Cu at (0.0000, 0.2500, 0.5000), Sb at (0.0000, 0.0000, 0.0000) and Au at (0.0000, 0.5000, 0.2500).

Entry 20:
A plane-wave DFT calculation with PBE-GGA was carried out for crystalline CuSbAu6 at its relaxed geometry.

The density of states at the Fermi level is 0.438 states/eV/atom. For the total energy, the calculation gives -3.45 eV/atom. Its energy relative to the elements, uncorrected is 0.04 eV/atom.

The space group is P4/mmm (No. 123) and the conventional cell measures 4.1940, 4.1940 and 8.3790 Å, with angles of 90.00, 90.00 and 90.00 degrees. The inequivalent atoms are Cu at (0.0000, 0.0000, 0.0000), Sb at (0.0000, 0.0000, 0.5000), Au at (0.0000, 0.5000, 0.2305), Au at (0.5000, 0.5000, 0.0000) and Au at (0.5000, 0.5000, 0.5000).